VASP calculation (PBEsol) on Y2TcOs after structural relaxation.

Total energy   -9.02 eV per atom
Energy of formation   1.0 eV/f.u.

Lattice parameters (Å, degrees): 4.7066 4.7066 4.7066 60.00 60.00 60.00
Sites, in units of the cell vectors:
Y1 0.0000 0.0000 0.0000
Y2 0.2500 0.2500 0.2500
Tc1 0.5000 0.5000 0.5000
Os1 0.7500 0.7500 0.7500


VASP calculation (PBEsol) on ZnTcOs2 after structural relaxation.

Total energy   -8.88 eV per atom
Energy of formation   1.8 eV/f.u.

Lattice parameters (Å, degrees): 5.0948 5.0948 2.6721 102.99 102.99 116.67
Sites, in units of the cell vectors:
Zn1 0.0000 0.0000 0.0000
Tc1 0.5000 0.5000 0.0000
Os1 0.0000 0.5000 0.5000
Os2 0.5000 0.0000 0.5000


VASP calculation (PBEsol) on ZnTcOs2 after structural relaxation.

Total energy   -9.14 eV per atom
Energy of formation   0.7 eV/f.u.

Lattice parameters (Å, degrees): 2.7315 3.8893 5.1772 90.00 90.00 90.00
Sites, in units of the cell vectors:
Zn1 0.0000 0.0000 0.0000
Tc1 0.5000 0.5000 0.7560
Os1 0.0000 0.0000 0.5012
Os2 0.5000 0.5000 0.2386


What is the formula in the second record? ZnTcOs2